No. 1
! Ca3VN3 (PBEsol, optimized geometry); values from VASP
&SYSTEM
  ibrav = 0, nat = 14, ntyp = 3
/
ATOMIC_SPECIES
Ca 40.08 Ca.upf
V 50.94 V.upf
N 14.01 N.upf
ATOMIC_POSITIONS angstrom
Ca 4.217 4.017 3.768
Ca 2.422 1.185 3.768
Ca 2.422 -1.185 1.256
Ca 6.012 1.185 3.768
Ca 6.012 -1.185 1.256
Ca 4.217 -4.017 1.256
V 4.217 2.023 1.256
V 4.217 -2.023 3.768
N 4.217 3.826 1.256
N 2.581 1.273 1.256
N 2.581 -1.273 3.768
N 5.852 1.273 1.256
N 5.852 -1.273 3.768
N 4.217 -3.826 3.768
CELL_PARAMETERS angstrom
4.217 -5.134 0.000
4.217 5.134 0.000
0.000 0.000 5.024
! - energy relative to the elements, uncorrected (eV/f.u.) = -8.241
! - space group = Cmcm, No. 63

---

No. 2
! BaMnAl (PBEsol, optimized geometry); values from VASP
&SYSTEM
  ibrav = 0, nat = 12, ntyp = 3
/
ATOMIC_SPECIES
Ba 137.33 Ba.upf
Mn 54.94 Mn.upf
Al 26.98 Al.upf
ATOMIC_POSITIONS angstrom
Ba 0.000 0.000 0.000
Ba 0.000 3.671 3.671
Ba 3.671 0.000 3.671
Ba 3.671 3.671 0.000
Mn 1.836 1.836 5.507
Mn 1.836 5.507 1.836
Mn 5.507 1.836 1.836
Mn 5.507 5.507 5.507
Al 1.836 1.836 1.836
Al 1.836 5.507 5.507
Al 5.507 1.836 5.507
Al 5.507 5.507 1.836
CELL_PARAMETERS angstrom
7.343 0.000 0.000
0.000 7.343 0.000
0.000 0.000 7.343
! - DFT formation energy (eV per atom) = 1.205
! - space group = F-43m, No. 216

---

No. 3
! ZrAsBr2N (PBEsol, optimized geometry); values from VASP
&SYSTEM
  ibrav = 0, nat = 5, ntyp = 4
/
ATOMIC_SPECIES
Zr 91.22 Zr.upf
As 74.92 As.upf
Br 79.90 Br.upf
N 14.01 N.upf
ATOMIC_POSITIONS angstrom
Zr 0.000 0.000 0.000
As 0.000 0.000 2.618
Br 0.000 2.628 0.000
Br 2.628 0.000 0.000
N 2.628 2.628 2.618
CELL_PARAMETERS angstrom
5.256 0.000 0.000
0.000 5.256 0.000
0.000 0.000 5.236
! - energy relative to the elements, uncorrected (eV/f.u.) = 2.955
! - space group = P4/mmm, No. 123

---

No. 4
! NiMoP8 (PBEsol, optimized geometry); values from VASP
&SYSTEM
  ibrav = 0, nat = 20, ntyp = 3
/
ATOMIC_SPECIES
Ni 58.69 Ni.upf
Mo 95.94 Mo.upf
P 30.97 P.upf
ATOMIC_POSITIONS angstrom
Ni 0.000 0.000 0.000
Ni 0.000 0.000 4.342
Mo 0.000 3.568 2.171
Mo 3.090 1.784 6.514
P -0.721 1.707 7.358
P -1.972 3.874 5.670
P 0.721 1.707 5.670
P -1.251 5.123 7.358
P 1.839 0.229 3.015
P 1.118 1.478 1.327
P 0.000 3.568 4.651
P 0.000 3.568 8.377
P 3.090 1.784 0.308
P 3.090 1.784 4.034
P 1.972 3.874 7.358
P 1.251 5.123 5.670
P 4.342 0.229 1.327
P 2.369 3.645 3.015
P 5.063 1.478 3.015
P 3.811 3.645 1.327
CELL_PARAMETERS angstrom
6.181 0.000 0.000
-3.090 5.353 0.000
0.000 0.000 8.685
! - DFT formation energy (eV per atom) = -0.363
! - space group = P-31c, No. 163